Record 1
Density functional theory data (PBE) for an optimized crystal structure of PrRe2Si3.

Cell and atoms, written as POSCAR:
```
PrRe2Si3
1.0
-3.907 1.165 -3.803
-3.390 -4.811 2.009
-1.951 4.778 3.469
Si Pr Re
6 2 4
direct
0.750 0.465 0.108
0.250 0.929 0.929
0.750 0.108 0.465
0.250 0.892 0.535
0.250 0.535 0.892
0.750 0.071 0.071
0.250 0.335 0.335
0.750 0.665 0.665
0.500 0.202 0.798
0.500 0.798 0.202
0.000 0.202 0.798
0.000 0.798 0.202
```

## Properties
- ρ (g cm⁻³) = 9.490
- ΔE_f (raw) (eV/atom) = -0.37



Record 2
Density functional theory data (PBE) for an optimized crystal structure of PrReSi2.

Cell and atoms, written as POSCAR:
```
PrReSi2
1.0
-2.815 3.087 0.265
-3.833 -0.785 1.488
-0.592 1.839 5.332
Pr Si Re
1 2 1
direct
0.500 0.500 0.500
0.292 0.292 0.123
0.708 0.708 0.877
0.000 0.000 0.000
```

## Properties
- ρ (g cm⁻³) = 8.176
- ΔE_f (raw) (eV/atom) = -0.45



Record 3
Density functional theory data (PBE) for an optimized crystal structure of PrReSi2Tc.

Cell and atoms, written as POSCAR:
```
PrReSi2Tc
1.0
-3.477 -0.616 -2.205
2.268 -1.482 -3.161
0.207 -3.767 4.655
Re Si Pr Tc
1 2 1 1
direct
0.250 0.750 0.500
0.626 0.626 0.251
0.374 0.374 0.749
0.000 0.000 0.000
0.750 0.250 0.500
```

## Properties
- ρ (g cm⁻³) = 8.835
- ΔE_f (raw) (eV/atom) = -0.50